The following is a GGA-PBE calculation of crystalline SmIn2Ru at its relaxed geometry, from the Alexandria database.

Summary:
D(E_F) (states/eV/cell): 2.94
DFT total energy (eV/atom): -5.0476
ρ (Mg/m³): 9.18
Formation enthalpy at 0 K (eV/atom): -0.1796

a = 3.363 Å, b = 3.363 Å, c = 7.692 Å
α = 90.00°, β = 90.00°, γ = 90.00°
Element x y z (fractional)
1 Ru 0.500 0.500 0.000
2 Sm 0.500 0.500 0.500
3 In 0.000 0.000 0.801
4 In 0.000 0.000 0.199

---

The following is a GGA-PBE calculation of crystalline FeSe2N2 at its relaxed geometry, from the Alexandria database.

Summary:
D(E_F) (states/eV/cell): 2.34
DFT total energy (eV/atom): -5.5491
ρ (Mg/m³): 5.39
Energy above the most stable polymorph in this dataset (eV/atom): 1.001
Energy relative to the elements, uncorrected (eV per atom): 0.87

a = 3.605 Å, b = 3.605 Å, c = 5.735 Å
α = 90.00°, β = 90.00°, γ = 90.00°
Element x y z (fractional)
1 Fe 0.000 0.000 0.000
2 Se 0.500 0.500 0.500
3 Se 0.000 0.000 0.500
4 N 0.000 0.500 0.000
5 N 0.500 0.000 0.000

---

The following is a GGA-PBE calculation of crystalline RbCa2Mn at its relaxed geometry, from the Alexandria database.

Summary:
D(E_F) (states/eV/cell): 7.49
DFT total energy (eV/atom): -2.9165
ρ (Mg/m³): 2.47
Formation enthalpy at 0 K (eV/atom): 0.6186

a = 5.942 Å, b = 5.942 Å, c = 5.942 Å
α = 60.00°, β = 60.00°, γ = 60.00°
Element x y z (fractional)
1 Ca 0.250 0.250 0.250
2 Ca 0.750 0.750 0.750
3 Mn 0.000 0.000 0.000
4 Rb 0.500 0.500 0.500

---

The following is a GGA-PBE calculation of crystalline KSi2Pt at its relaxed geometry, from the Alexandria database.

Summary:
D(E_F) (states/eV/cell): 2.70
DFT total energy (eV/atom): -3.9606
ρ (Mg/m³): 6.45
Energy relative to the elements, uncorrected (eV per atom): 0.54

a = 5.629 Å, b = 5.739 Å, c = 2.723 Å
α = 80.78°, β = 80.97°, γ = 116.95°
Element x y z (fractional)
1 K 0.000 0.500 0.500
2 Pt 0.500 0.500 0.000
3 Si 0.000 0.000 0.000
4 Si 0.500 0.000 0.500

---

The following is a GGA-PBE calculation of crystalline Sr2AlTcS at its relaxed geometry, from the Alexandria database.

Summary:
D(E_F) (states/eV/cell): 2.05
DFT total energy (eV/atom): -4.2368
ρ (Mg/m³): 3.84
Energy above the most stable polymorph in this dataset (eV/atom): 0.000
Energy relative to the elements, uncorrected (eV per atom): 0.08

a = 5.528 Å, b = 4.699 Å, c = 5.528 Å
α = 90.00°, β = 90.00°, γ = 90.00°
Element x y z (fractional)
1 Sr 0.000 0.000 0.500
2 Sr 0.500 0.000 0.000
3 S 0.500 0.500 0.500
4 Tc 0.000 0.000 0.000
5 Al 0.000 0.500 0.000

---

The following is a GGA-PBE calculation of crystalline PbSeI3 at its relaxed geometry, from the Alexandria database.

Summary:
D(E_F) (states/eV/cell): 6.64
DFT total energy (eV/atom): -2.1414
ρ (Mg/m³): 4.56
Energy above the most stable polymorph in this dataset (eV/atom): 0.092
Energy relative to the elements, uncorrected (eV per atom): 0.23

a = 6.239 Å, b = 6.239 Å, c = 6.239 Å
α = 90.00°, β = 90.00°, γ = 90.00°
Element x y z (fractional)
1 Pb 0.000 0.000 0.000
2 I 0.000 0.500 0.000
3 I 0.000 0.000 0.500
4 I 0.500 0.000 0.000
5 Se 0.500 0.500 0.500

---

The following is a GGA-PBE calculation of crystalline BaSi2Rh at its relaxed geometry, from the Alexandria database.

Summary:
D(E_F) (states/eV/cell): 4.45
DFT total energy (eV/atom): -5.5126
ρ (Mg/m³): 5.46
Energy relative to the elements, uncorrected (eV per atom): -0.48

a = 5.792 Å, b = 6.640 Å, c = 6.171 Å
α = 109.84°, β = 103.98°, γ = 115.04°
Element x y z (fractional)
1 Ba 0.146 0.396 0.293
2 Ba 0.854 0.604 0.707
3 Si 0.478 0.978 0.181
4 Si 0.703 0.703 0.181
5 Si 0.522 0.022 0.819
6 Si 0.297 0.297 0.819
7 Rh 0.785 0.035 0.569
8 Rh 0.215 0.965 0.431

---

The following is a GGA-PBE calculation of crystalline PuTcN3 at its relaxed geometry, from the Alexandria database.

Summary:
D(E_F) (states/eV/cell): 16.54
DFT total energy (eV/atom): -10.4285
ρ (Mg/m³): 8.41
Energy relative to the elements, uncorrected (eV per atom): -0.49

a = 3.658 Å, b = 5.438 Å, c = 8.094 Å
α = 109.66°, β = 90.00°, γ = 90.00°
Element x y z (fractional)
1 Pu 0.250 0.199 0.181
2 Pu 0.750 0.801 0.819
3 Tc 0.250 0.167 0.668
4 Tc 0.750 0.833 0.332
5 N 0.250 0.065 0.887
6 N 0.750 0.935 0.113
7 N 0.250 0.003 0.397
8 N 0.750 0.997 0.603
9 N 0.250 0.513 0.735
10 N 0.750 0.487 0.265

---

The following is a GGA-PBE calculation of crystalline TbPuGe at its relaxed geometry, from the Alexandria database.

Summary:
D(E_F) (states/eV/cell): 6.69
DFT total energy (eV/atom): -8.0832
ρ (Mg/m³): 10.52
Energy above the most stable polymorph in this dataset (eV/atom): 0.000
Formation enthalpy at 0 K (eV/atom): -0.2233

a = 3.633 Å, b = 4.884 Å, c = 4.884 Å
α = 120.00°, β = 90.00°, γ = 90.00°
Element x y z (fractional)
1 Ge 0.012 0.000 0.000
2 Tb 0.275 0.667 0.333
3 Pu 0.713 0.333 0.667

---

The following is a GGA-PBE calculation of crystalline Pr4Tc6O19 at its relaxed geometry, from the Alexandria database.

Summary:
D(E_F) (states/eV/cell): 4.15
DFT total energy (eV/atom): -8.1644
ρ (Mg/m³): 6.51
Energy relative to the elements, uncorrected (eV per atom): -2.11

a = 7.841 Å, b = 7.841 Å, c = 7.841 Å
α = 109.47°, β = 109.47°, γ = 109.47°
Element x y z (fractional)
1 Pr 0.000 0.000 0.683
2 Pr 0.000 0.683 0.000
3 Pr 0.317 0.317 0.317
4 Pr 0.683 0.000 0.000
5 Tc 0.367 0.500 0.867
6 Tc 0.633 0.500 0.133
7 Tc 0.133 0.633 0.500
8 Tc 0.867 0.367 0.500
9 Tc 0.500 0.867 0.367
10 Tc 0.500 0.133 0.633
11 O 0.678 0.000 0.678
12 O 0.322 0.000 0.322
13 O 0.322 0.322 0.000
14 O 0.678 0.678 0.000
15 O 0.000 0.678 0.678
16 O 0.000 0.322 0.322
17 O 0.000 0.000 0.000
18 O 0.321 0.263 0.625
19 O 0.679 0.304 0.942
20 O 0.638 0.696 0.375
21 O 0.942 0.679 0.304
22 O 0.362 0.737 0.058
23 O 0.625 0.321 0.263
24 O 0.058 0.362 0.737
25 O 0.375 0.638 0.696
26 O 0.737 0.058 0.362
27 O 0.304 0.942 0.679
28 O 0.263 0.625 0.321
29 O 0.696 0.375 0.638

---

The following is a GGA-PBE calculation of crystalline SmLu2Te at its relaxed geometry, from the Alexandria database.

Summary:
D(E_F) (states/eV/cell): 5.05
DFT total energy (eV/atom): -4.7308
ρ (Mg/m³): 9.03
Energy relative to the elements, uncorrected (eV per atom): -0.51

a = 3.807 Å, b = 3.807 Å, c = 7.967 Å
α = 90.00°, β = 90.00°, γ = 90.00°
Element x y z (fractional)
1 Lu 0.000 0.000 0.777
2 Lu 0.000 0.000 0.223
3 Te 0.500 0.500 0.000
4 Sm 0.500 0.500 0.500

---

The following is a GGA-PBE calculation of crystalline K2AlFe at its relaxed geometry, from the Alexandria database.

Summary:
D(E_F) (states/eV/cell): 2.00
DFT total energy (eV/atom): -2.6992
ρ (Mg/m³): 2.40
Formation enthalpy at 0 K (eV/atom): 0.9009

a = 5.734 Å, b = 4.410 Å, c = 4.410 Å
α = 90.00°, β = 90.00°, γ = 90.00°
Element x y z (fractional)
1 K 0.000 0.000 0.000
2 K 0.000 0.500 0.500
3 Fe 0.500 0.000 0.500
4 Al 0.500 0.500 0.000